#w
# CdInRe2 | the Alexandria database | meta-GGA SCAN | single point on PBEsol structure
# * theoretical density: 14.8 Mg/m³
data_CdInRe2
_cell_length_a 3.1136
_cell_length_b 4.5860
_cell_length_c 4.7007
_cell_angle_alpha 90.00
_cell_angle_beta 90.00
_cell_angle_gamma 90.00
_symmetry_space_group_name_H-M 'P m m m'
_symmetry_Int_Tables_number 47
loop_
_symmetry_equiv_pos_as_xyz
'x,y,z'
'-x,-y,-z'
'-x,-y,z'
'x,y,-z'
'x,-y,-z'
'-x,y,z'
'-x,y,-z'
'x,-y,z'
loop_
_atom_site_label
_atom_site_type_symbol
_atom_site_fract_x
_atom_site_fract_y
_atom_site_fract_z
_atom_site_occupancy
Cd1 Cd 0.0000 0.0000 0.0000 1
In1 In 0.5000 0.5000 0.0000 1
Re1 Re 0.0000 0.5000 0.5000 1
Re2 Re 0.5000 0.0000 0.5000 1

#x
# CdInRe2 | the Alexandria database | meta-GGA SCAN | single point on PBEsol structure
# * theoretical density: 14.9 Mg/m³
data_CdInRe2
_cell_length_a 2.8631
_cell_length_b 2.8631
_cell_length_c 28.2861
_cell_angle_alpha 90.00
_cell_angle_beta 90.00
_cell_angle_gamma 120.00
_symmetry_space_group_name_H-M 'R -3 m'
_symmetry_Int_Tables_number 166
_symmetry_space_group_name_Hall '-R 3 2"'
loop_
_atom_site_label
_atom_site_type_symbol
_atom_site_fract_x
_atom_site_fract_y
_atom_site_fract_z
_atom_site_occupancy
Cd1 Cd 0.0000 0.0000 0.0000 1
In1 In 0.0000 0.0000 0.5000 1
Re1 Re 0.0000 0.0000 0.2492 1

Winner for stability: #x